1.
Below is crystalline AlNi2Os at its relaxed geometry, with properties calculated at the PBE-GGA level.

Space group ... No. 166
Formation enthalpy at 0 K ... -122.5 meV/atom

Unit cell a=2.672 b=2.672 c=24.444 alpha=90.00 beta=90.00 gamma=120.00
Sites, in units of the cell vectors:
1 Al 0.000 0.000 0.000
2 Al 0.333 0.667 0.667
3 Al 0.667 0.333 0.333
4 Ni 0.000 0.000 0.253
5 Ni 0.000 0.000 0.747
6 Ni 0.333 0.667 0.414
7 Ni 0.333 0.667 0.920
8 Ni 0.667 0.333 0.080
9 Ni 0.667 0.333 0.586
10 Os 0.000 0.000 0.500
11 Os 0.333 0.667 0.167
12 Os 0.667 0.333 0.833

---

2.
Below is crystalline Al3Ni2Os at its relaxed geometry, with properties calculated at the PBE-GGA level.

Space group ... No. 123
Formation enthalpy at 0 K ... -578.0 meV/atom

Unit cell a=3.010 b=3.010 c=8.460 alpha=90.00 beta=90.00 gamma=90.00
Sites, in units of the cell vectors:
1 Al 0.000 0.000 0.000
2 Al 0.000 0.000 0.330
3 Al 0.000 0.000 0.670
4 Ni 0.500 0.500 0.158
5 Ni 0.500 0.500 0.842
6 Os 0.500 0.500 0.500

---

3.
Below is crystalline AlNi2Os at its relaxed geometry, with properties calculated at the PBE-GGA level.

Space group ... No. 122
Formation enthalpy at 0 K ... 309.2 meV/atom

Unit cell a=3.551 b=3.551 c=17.286 alpha=90.00 beta=90.00 gamma=90.00
Sites, in units of the cell vectors:
1 Al 0.000 0.000 0.000
2 Al 0.000 0.500 0.250
3 Al 0.500 0.000 0.750
4 Al 0.500 0.500 0.500
5 Ni 0.249 0.250 0.625
6 Ni 0.250 0.749 0.875
7 Ni 0.250 0.751 0.375
8 Ni 0.251 0.250 0.125
9 Ni 0.749 0.750 0.125
10 Ni 0.750 0.249 0.375
11 Ni 0.750 0.251 0.875
12 Ni 0.751 0.750 0.625
13 Os 0.000 0.000 0.500
14 Os 0.000 0.500 0.750
15 Os 0.500 0.000 0.250
16 Os 0.500 0.500 0.000

---

4.
Below is crystalline AlNiOs2 at its relaxed geometry, with properties calculated at the PBE-GGA level.

Space group ... No. 35
Formation enthalpy at 0 K ... 198.5 meV/atom

Unit cell a=2.807 b=4.590 c=8.545 alpha=90.00 beta=90.00 gamma=90.00
Sites, in units of the cell vectors:
1 Al 0.000 0.000 0.000
2 Al 0.500 0.500 0.000
3 Ni 0.000 0.500 0.774
4 Ni 0.500 0.000 0.774
5 Os 0.000 0.000 0.519
6 Os 0.000 0.500 0.253
7 Os 0.500 0.000 0.253
8 Os 0.500 0.500 0.519

---

5.
Below is crystalline AlNi2Os4 at its relaxed geometry, with properties calculated at the PBE-GGA level.

Space group ... No. 139
Formation enthalpy at 0 K ... 1671.1 meV/atom

Unit cell a=4.410 b=4.410 c=11.738 alpha=90.00 beta=90.00 gamma=90.00
Sites, in units of the cell vectors:
1 Al 0.000 0.000 0.000
2 Al 0.500 0.500 0.500
3 Ni 0.000 0.000 0.394
4 Ni 0.000 0.000 0.606
5 Ni 0.500 0.500 0.106
6 Ni 0.500 0.500 0.894
7 Os 0.000 0.000 0.198
8 Os 0.000 0.000 0.802
9 Os 0.000 0.500 0.000
10 Os 0.000 0.500 0.500
11 Os 0.500 0.000 0.000
12 Os 0.500 0.000 0.500
13 Os 0.500 0.500 0.302
14 Os 0.500 0.500 0.698

---

6.
Below is crystalline AlNiOs3 at its relaxed geometry, with properties calculated at the PBE-GGA level.

Space group ... No. 221
Formation enthalpy at 0 K ... 1898.4 meV/atom

Unit cell a=4.376 b=4.376 c=4.376 alpha=90.00 beta=90.00 gamma=90.00
Sites, in units of the cell vectors:
1 Al 0.000 0.000 0.000
2 Ni 0.500 0.500 0.500
3 Os 0.000 0.000 0.500
4 Os 0.000 0.500 0.000
5 Os 0.500 0.000 0.000

---

7.
Below is crystalline AlNi2Os at its relaxed geometry, with properties calculated at the PBE-GGA level.

Space group ... No. 119
Formation enthalpy at 0 K ... -137.8 meV/atom

Unit cell a=3.743 b=3.743 c=7.146 alpha=90.00 beta=90.00 gamma=90.00
Sites, in units of the cell vectors:
1 Al 0.000 0.000 0.000
2 Al 0.500 0.500 0.500
3 Ni 0.000 0.000 0.500
4 Ni 0.000 0.500 0.750
5 Ni 0.500 0.000 0.250
6 Ni 0.500 0.500 0.000
7 Os 0.000 0.500 0.250
8 Os 0.500 0.000 0.750

---

8.
Below is crystalline AlNiOs2 at its relaxed geometry, with properties calculated at the PBE-GGA level.

Space group ... No. 119
Formation enthalpy at 0 K ... -122.5 meV/atom

Unit cell a=3.825 b=3.825 c=7.319 alpha=90.00 beta=90.00 gamma=90.00
Sites, in units of the cell vectors:
1 Al 0.000 0.000 0.000
2 Al 0.500 0.500 0.500
3 Ni 0.000 0.500 0.750
4 Ni 0.500 0.000 0.250
5 Os 0.000 0.000 0.500
6 Os 0.000 0.500 0.250
7 Os 0.500 0.000 0.750
8 Os 0.500 0.500 0.000

---

9.
Below is crystalline Al5NiOs4 at its relaxed geometry, with properties calculated at the PBE-GGA level.

Space group ... No. 123
Formation enthalpy at 0 K ... -443.7 meV/atom

Unit cell a=3.024 b=3.024 c=14.767 alpha=90.00 beta=90.00 gamma=90.00
Sites, in units of the cell vectors:
1 Al 0.000 0.000 0.000
2 Al 0.000 0.000 0.204
3 Al 0.000 0.000 0.403
4 Al 0.000 0.000 0.597
5 Al 0.000 0.000 0.796
6 Ni 0.500 0.500 0.500
7 Os 0.500 0.500 0.101
8 Os 0.500 0.500 0.307
9 Os 0.500 0.500 0.693
10 Os 0.500 0.500 0.899

---

10.
Below is crystalline Al2Ni2Os at its relaxed geometry, with properties calculated at the PBE-GGA level.

Space group ... No. 127
Formation enthalpy at 0 K ... -281.7 meV/atom

Unit cell a=6.859 b=6.859 c=2.685 alpha=90.00 beta=90.00 gamma=90.00
Sites, in units of the cell vectors:
1 Al 0.144 0.356 0.000
2 Al 0.356 0.856 0.000
3 Al 0.644 0.144 0.000
4 Al 0.856 0.644 0.000
5 Ni 0.153 0.653 0.500
6 Ni 0.347 0.153 0.500
7 Ni 0.653 0.847 0.500
8 Ni 0.847 0.347 0.500
9 Os 0.000 0.000 0.000
10 Os 0.500 0.500 0.000

---

11.
Below is crystalline AlNiOs2 at its relaxed geometry, with properties calculated at the PBE-GGA level.

Space group ... No. 216
Formation enthalpy at 0 K ... 31.1 meV/atom

Unit cell a=6.012 b=6.012 c=6.012 alpha=90.00 beta=90.00 gamma=90.00
Sites, in units of the cell vectors:
1 Al 0.000 0.000 0.000
2 Al 0.000 0.500 0.500
3 Al 0.500 0.000 0.500
4 Al 0.500 0.500 0.000
5 Ni 0.250 0.250 0.750
6 Ni 0.250 0.750 0.250
7 Ni 0.750 0.250 0.250
8 Ni 0.750 0.750 0.750
9 Os 0.000 0.000 0.500
10 Os 0.000 0.500 0.000
11 Os 0.250 0.250 0.250
12 Os 0.250 0.750 0.750
13 Os 0.500 0.000 0.000
14 Os 0.500 0.500 0.500
15 Os 0.750 0.250 0.750
16 Os 0.750 0.750 0.250

---

12.
Below is crystalline AlNiOs3 at its relaxed geometry, with properties calculated at the PBE-GGA level.

Space group ... No. 221
Formation enthalpy at 0 K ... 1740.2 meV/atom

Unit cell a=4.420 b=4.420 c=4.420 alpha=90.00 beta=90.00 gamma=90.00
Sites, in units of the cell vectors:
1 Al 0.000 0.000 0.000
2 Ni 0.500 0.500 0.500
3 Os 0.000 0.500 0.500
4 Os 0.500 0.000 0.500
5 Os 0.500 0.500 0.000

---

Number 1: final energy -6.76 eV per atom. Number 2: final energy -6.25 eV per atom. Number 3: final energy -6.32 eV per atom. Number 4: final energy -7.80 eV per atom. Number 5: final energy -6.93 eV per atom. Number 6: final energy -6.74 eV per atom. Number 7: final energy -6.77 eV per atom. Number 8: final energy -8.12 eV per atom. Number 9: final energy -7.39 eV per atom. Number 10: final energy -6.34 eV per atom. Number 11: final energy -7.96 eV per atom. Number 12: final energy -6.90 eV per atom.